No. 1
A plane-wave DFT calculation with GGA-PBE was carried out for a relaxed structure of TiFeAg3.

## Properties
Volume   24.0 Å³/atom
Total energy   -3.501 eV/atom
Energy of formation   1.48 eV/atom
Total moment   0.908 μB per atom

Cell: 4.933 4.933 4.933 Å, 90.00 90.00 90.00°
Space group Pm-3m (No. 221)
Unique sites:
Ti  0.000  0.000  0.000 x1
Fe  0.500  0.500  0.500 x1
Ag  0.000  0.000  0.500 x3

=====

No. 2
A plane-wave DFT calculation with GGA-PBE was carried out for a relaxed structure of TiFeAg2.

## Properties
Relative energy among the computed polymorphs   0 meV per atom
Volume   15.7 Å³/atom
Total energy   -4.995 eV/atom
Energy of formation   0.52 eV/atom
Total moment   0.000 μB per atom

Cell: 6.305 6.305 6.305 Å, 90.00 90.00 90.00°
Space group Fm-3m (No. 225)
Unique sites:
Ti  0.000  0.000  0.000 x4
Fe  0.000  0.000  0.500 x4
Ag  0.250  0.250  0.250 x8

=====

No. 3
A plane-wave DFT calculation with GGA-PBE was carried out for a relaxed structure of TlFe4Ag.

## Properties
Volume   14.8 Å³/atom
Total energy   -6.143 eV/atom
Energy of formation   0.37 eV/atom
Total moment   1.690 μB per atom

Cell: 7.082 7.082 7.082 Å, 90.00 90.00 90.00°
Space group F-43m (No. 216)
Unique sites:
Tl  0.000  0.000  0.000 x4
Fe  0.125  0.125  0.375 x16
Ag  0.250  0.250  0.750 x4

=====

No. 4
A plane-wave DFT calculation with GGA-PBE was carried out for a relaxed structure of TlFeAg.

## Properties
Relative energy among the computed polymorphs   0 meV per atom
Volume   18.6 Å³/atom
Total energy   -4.073 eV/atom
Energy of formation   0.49 eV/atom
Total moment   0.949 μB per atom

Cell: 3.025 3.025 12.204 Å, 90.00 90.00 90.00°
Space group I4mm (No. 107)
Unique sites:
Tl  0.000  0.000  0.000 x2
Fe  0.000  0.000  0.664 x2
Ag  0.000  0.000  0.308 x2